VASP calculation (PBE-GGA) on a relaxed Ta2HgO2 crystal.

Cell: 7.1216 7.1216 2.7471 Å, 90.00 90.00 90.00°
Atoms (fractional coordinates):
O  0.6133  0.1133  0.0000
O  0.1133  0.3867  0.0000
Hg  0.5000  0.5000  0.0000
Ta  0.6414  0.8586  0.5000
O  0.8867  0.6133  0.0000
Hg  0.0000  0.0000  0.0000
O  0.3867  0.8867  0.0000
Ta  0.1414  0.6414  0.5000
Ta  0.3586  0.1414  0.5000
Ta  0.8586  0.3586  0.5000

Values from the calculation:
* E_form (uncorrected): -0.44 eV/atom
* space-group type: P4/mbm
* volume: 13.9 Å³/atom
* relative energy among the computed polymorphs: 2.28 eV/f.u.